DFT (PBE) results for YFe2Tc after structural relaxation.

```
YFe2Tc
1.0
2.052 1.185 4.931
-2.052 1.185 4.931
0.000 -2.370 4.931
Y Fe Tc
1 2 1
direct
0.000 0.000 0.000
0.195 0.195 0.195
0.805 0.805 0.805
0.500 0.500 0.500
```

E above lowest polymorph in meV/atom: 0.0
Total moment in Bohr magnetons per cell: 2.73
DOS at the Fermi energy in states/eV/cell: 5.7
DFT total energy in eV per formula unit: -33.3

***

DFT (PBE) results for AlSn2Cl2 after structural relaxation.

```
AlSn2Cl2
1.0
-2.098 2.098 8.416
2.098 -2.098 8.416
2.098 2.098 -8.416
Al Sn Cl
1 2 2
direct
0.000 0.000 0.000
0.250 0.750 0.500
0.750 0.250 0.500
0.401 0.401 0.000
0.599 0.599 0.000
```

E above lowest polymorph in meV/atom: 0.0
E_form (uncorrected) in meV/atom: -115.5
Total moment in Bohr magnetons per cell: 0.00
DOS at the Fermi energy in states/eV/cell: 1.7
DFT total energy in eV per formula unit: -16.0

***

- Look up the total moment of the second one.
  0.00 Bohr magnetons per cell

***

- The lowest DOS at the Fermi energy belongs to which entry?
  AlSn2Cl2

***

- Look up the E above lowest polymorph of the first one.
  0.0 meV/atom

***

- Number 2 is which compound?
  AlSn2Cl2